Compound: Nd6Ge2Se3I
Source: Alexandria
Functional: PBE
Structure: relaxed

a b c (Å): 4.288 8.723 9.611
angles (deg): 101.80 102.89 90.00
Positions (direct):
Nd 0.669 0.579 0.338
I 0.500 0.000 0.000
Nd 0.331 0.421 0.662
Nd 0.992 0.717 0.984
Ge 0.833 0.666 0.665
Se 0.500 0.500 0.000
Se 0.840 0.163 0.680
Ge 0.167 0.334 0.335
Nd 0.678 0.106 0.357
Se 0.160 0.837 0.320
Nd 0.008 0.283 0.016
Nd 0.322 0.894 0.643

Summary:
The calculation puts the volume at 342.61 Å³/cell. The value obtained for the density of states at the Fermi level is 0.3375 states/eV per atom. As for the calculated total energy: -66.83 eV for the cell shown. The energy relative to the elements, uncorrected comes out at -1.415 eV/atom.